[1]
VASP calculation (SCAN) on CaNiF5 at its PBEsol-relaxed geometry.

POSCAR file:
```
CaNiF5
1.0
5.3770 0.0475 0.0183
1.8239 5.0585 0.0183
2.7236 1.9312 6.9359
F Ca Ni
10 2 2
direct
0.7140 0.3046 0.5239
0.9383 0.0617 0.2500
0.2394 0.2104 0.3856
0.7896 0.7606 0.1144
0.3046 0.7140 0.0239
0.0617 0.9383 0.7500
0.2104 0.2394 0.8856
0.2860 0.6954 0.4761
0.6954 0.2860 0.9761
0.7606 0.7896 0.6144
0.5498 0.4502 0.2500
0.4502 0.5498 0.7500
0.0000 0.0000 0.0000
0.0000 0.0000 0.5000
```

Results
As for the uncorrected formation energy: -2.92 eV per atom. The volume is 13.41 Å³/atom. The value obtained for the excess energy over the best structure of this formula in the dataset is 0 meV per atom. For the theoretical density, the calculation gives 3.4 g/cm³.

***

[2]
VASP calculation (SCAN) on CaNiOF2 at its PBEsol-relaxed geometry.

POSCAR file:
```
CaNiOF2
1.0
4.1656 0.0000 0.0000
0.0000 4.1656 0.0000
0.0000 0.0000 4.4633
Ca F Ni O
1 2 1 1
direct
0.0000 0.0000 0.0000
0.0000 0.5000 0.0000
0.5000 0.0000 0.0000
0.5000 0.5000 0.5000
0.0000 0.0000 0.5000
```

Results
As for the uncorrected formation energy: -1.66 eV per atom. The volume is 15.49 Å³/atom. For the theoretical density, the calculation gives 3.3 g/cm³.

***

[3]
VASP calculation (SCAN) on CaNiWF2 at its PBEsol-relaxed geometry.

POSCAR file:
```
CaNiWF2
1.0
-2.8386 -0.7966 2.8918
-2.0845 -2.3388 -2.6906
2.4230 -3.7176 1.3544
F Ni Ca W
2 1 1 1
direct
0.0000 0.5000 0.0000
0.5000 0.0000 0.0000
0.0000 0.0000 0.5000
0.5000 0.5000 0.5000
0.0000 0.0000 0.0000
```

Results
As for the uncorrected formation energy: -0.84 eV per atom. The volume is 15.83 Å³/atom. For the theoretical density, the calculation gives 6.7 g/cm³.

***

[4]
VASP calculation (SCAN) on CaZnNiF2 at its PBEsol-relaxed geometry.

POSCAR file:
```
CaZnNiF2
1.0
-1.4884 -3.1692 -2.1251
-1.4434 -1.6439 3.4626
-5.2455 2.9808 -0.7715
Ca Zn F Ni
1 1 2 1
direct
0.0000 0.0000 0.0000
0.5000 0.5000 0.5000
0.0000 0.5000 0.0000
0.5000 0.0000 0.0000
0.0000 0.0000 0.5000
```

Results
As for the uncorrected formation energy: -1.44 eV per atom. The volume is 20.41 Å³/atom. For the theoretical density, the calculation gives 3.3 g/cm³.

***

[5]
VASP calculation (SCAN) on Ca5P3O12F at its PBEsol-relaxed geometry.

POSCAR file:
```
Ca5P3O12F
1.0
-4.0869 -3.6534 -4.1077
-5.0090 -2.7250 7.4072
-2.3320 7.7910 -4.6092
O Ca P F
24 10 6 2
direct
0.4306 0.7453 0.0863
0.0672 0.9134 0.6583
0.2490 0.1589 0.6737
0.2490 0.3263 0.4852
0.2494 0.5326 0.1231
0.0672 0.7450 0.0866
0.0672 0.3417 0.2550
0.9306 0.2547 0.9137
0.7490 0.4852 0.1589
0.2494 0.8769 0.4095
0.7490 0.8411 0.3263
0.2494 0.5905 0.4674
0.7490 0.6737 0.5148
0.5672 0.2550 0.9134
0.5672 0.6583 0.7450
0.5672 0.0866 0.3417
0.7494 0.4674 0.8769
0.7494 0.4095 0.5326
0.4306 0.3410 0.2547
0.4306 0.9137 0.6590
0.9306 0.0863 0.3410
0.9306 0.6590 0.7453
0.7494 0.1231 0.5905
0.2490 0.5148 0.8411
0.2491 0.0045 0.2472
0.0000 0.3333 0.6667
0.2491 0.2427 0.9955
0.4984 0.3333 0.6667
0.7491 0.7573 0.0045
0.7491 0.2472 0.2427
0.2491 0.7528 0.7573
0.7491 0.9955 0.7528
0.9984 0.6667 0.3333
0.5000 0.6667 0.3333
0.2491 0.6315 0.0301
0.2491 0.3985 0.3685
0.2491 0.9699 0.6015
0.7491 0.6015 0.6315
0.7491 0.0301 0.3985
0.7491 0.3685 0.9699
0.2487 0.0000 0.0000
0.7487 0.0000 0.0000
```

Results
As for the uncorrected formation energy: -3.30 eV per atom. The volume is 12.34 Å³/atom. For the theoretical density, the calculation gives 3.2 g/cm³.

***

[6]
VASP calculation (SCAN) on CaPO2F at its PBEsol-relaxed geometry.

POSCAR file:
```
CaPO2F
1.0
-1.4593 -2.8685 0.9897
4.0086 -1.8676 0.4974
0.1253 1.3938 4.2244
O Ca P F
2 1 1 1
direct
0.0000 0.5000 0.0000
0.0000 0.0000 0.5000
0.5000 0.5000 0.5000
0.5000 0.0000 0.0000
0.0000 0.0000 0.0000
```

Results
As for the uncorrected formation energy: -0.47 eV per atom. The volume is 13.34 Å³/atom. For the theoretical density, the calculation gives 3.0 g/cm³.

***

no.,VASP energy (eV/atom)
1,-9.139
2,-9.488
3,-21.362
4,-10.722
5,-10.820
6,-7.686